Entry 1:
DFT (GGA-PBE) results for an optimized crystal structure of Er5GaPd2.

The structure in CIF format:
```
data_Er5GaPd2
_chemical_formula_sum 'Er10 Ga2 Pd4'
_cell_length_a 8.553
_cell_length_b 8.553
_cell_length_c 8.553
_cell_angle_alpha 126.71
_cell_angle_beta 126.71
_cell_angle_gamma 78.73
_symmetry_space_group_name_H-M 'P 1'
_symmetry_Int_Tables_number 1
_symmetry_space_group_name_Hall 'P 1'
loop_
_atom_site_label
_atom_site_type_symbol
_atom_site_fract_x
_atom_site_fract_y
_atom_site_fract_z
Er1 Er 0.000 0.000 0.000
Er2 Er 0.015 0.515 0.820
Er3 Er 0.195 0.015 0.500
Er4 Er 0.305 0.805 0.820
Er5 Er 0.485 0.305 0.500
Er6 Er 0.500 0.500 0.000
Er7 Er 0.515 0.695 0.500
Er8 Er 0.695 0.195 0.180
Er9 Er 0.805 0.985 0.500
Er10 Er 0.985 0.485 0.180
Ga1 Ga 0.250 0.250 0.000
Ga2 Ga 0.750 0.750 0.000
Pd1 Pd 0.134 0.366 0.500
Pd2 Pd 0.366 0.866 0.232
Pd3 Pd 0.634 0.134 0.768
Pd4 Pd 0.866 0.634 0.500
```

## Properties
- Magnetic moment: 0.002 μB per formula unit
- Formation enthalpy at 0 K: -5.0 eV per formula unit
- Space group: No. 140
- E_tot: -5.1567 eV/atom
- DOS at the Fermi energy: 19.466 states/eV/cell


Entry 2:
DFT (GGA-PBE) results for an optimized crystal structure of Y7Ho12Sc.

The structure in CIF format:
```
data_Y7Ho12Sc
_chemical_formula_sum 'Y7 Ho12 Sc1'
_cell_length_a 10.909
_cell_length_b 10.909
_cell_length_c 10.909
_cell_angle_alpha 116.02
_cell_angle_beta 116.02
_cell_angle_gamma 116.02
_symmetry_space_group_name_H-M 'P 1'
_symmetry_Int_Tables_number 1
_symmetry_space_group_name_Hall 'P 1'
loop_
_atom_site_label
_atom_site_type_symbol
_atom_site_fract_x
_atom_site_fract_y
_atom_site_fract_z
Y1 Y 0.000 0.000 0.000
Y2 Y 0.138 0.438 0.302
Y3 Y 0.302 0.138 0.438
Y4 Y 0.438 0.302 0.138
Y5 Y 0.562 0.698 0.862
Y6 Y 0.698 0.862 0.562
Y7 Y 0.862 0.562 0.698
Ho1 Ho 0.006 0.792 0.578
Ho2 Ho 0.208 0.422 0.994
Ho3 Ho 0.233 0.753 0.296
Ho4 Ho 0.247 0.704 0.767
Ho5 Ho 0.296 0.233 0.753
Ho6 Ho 0.422 0.994 0.208
Ho7 Ho 0.578 0.006 0.792
Ho8 Ho 0.704 0.767 0.247
Ho9 Ho 0.753 0.296 0.233
Ho10 Ho 0.767 0.247 0.704
Ho11 Ho 0.792 0.578 0.006
Ho12 Ho 0.994 0.208 0.422
Sc1 Sc 0.500 0.500 0.500
```

## Properties
- Magnetic moment: 0.000 μB per formula unit
- Formation enthalpy at 0 K: 6.3 eV per formula unit
- Space group: No. 148
- E_tot: -5.0110 eV/atom
- Energy relative to the lowest polymorph listed for this composition: 6.80 kJ/mol of atoms
- DOS at the Fermi energy: 27.691 states/eV/cell


Entry 3:
DFT (GGA-PBE) results for an optimized crystal structure of Nb2GaSn.

The structure in CIF format:
```
data_Nb2GaSn
_chemical_formula_sum 'Nb2 Ga1 Sn1'
_cell_length_a 9.505
_cell_length_b 9.505
_cell_length_c 9.505
_cell_angle_alpha 18.54
_cell_angle_beta 18.54
_cell_angle_gamma 18.54
_symmetry_space_group_name_H-M 'P 1'
_symmetry_Int_Tables_number 1
_symmetry_space_group_name_Hall 'P 1'
loop_
_atom_site_label
_atom_site_type_symbol
_atom_site_fract_x
_atom_site_fract_y
_atom_site_fract_z
Nb1 Nb 0.247 0.247 0.247
Nb2 Nb 0.753 0.753 0.753
Ga1 Ga 0.500 0.500 0.500
Sn1 Sn 0.000 0.000 0.000
```

## Properties
- Magnetic moment: 0.000 μB per formula unit
- Formation enthalpy at 0 K: 0.0 eV per formula unit
- Space group: No. 166
- E_tot: -6.7860 eV/atom
- DOS at the Fermi energy: 3.054 states/eV/cell


- Look up the DOS at the Fermi energy of the third one.
  3.054 states/eV/cell


- Among the records above, which one has the lowest formation enthalpy at 0 K?
  Er5GaPd2


What did the second record say?
DFT (GGA-PBE) results for an optimized crystal structure of Y7Ho12Sc.

The structure in CIF format:
```
data_Y7Ho12Sc
_chemical_formula_sum 'Y7 Ho12 Sc1'
_cell_length_a 10.909
_cell_length_b 10.909
_cell_length_c 10.909
_cell_angle_alpha 116.02
_cell_angle_beta 116.02
_cell_angle_gamma 116.02
_symmetry_space_group_name_H-M 'P 1'
_symmetry_Int_Tables_number 1
_symmetry_space_group_name_Hall 'P 1'
loop_
_atom_site_label
_atom_site_type_symbol
_atom_site_fract_x
_atom_site_fract_y
_atom_site_fract_z
Y1 Y 0.000 0.000 0.000
Y2 Y 0.138 0.438 0.302
Y3 Y 0.302 0.138 0.438
Y4 Y 0.438 0.302 0.138
Y5 Y 0.562 0.698 0.862
Y6 Y 0.698 0.862 0.562
Y7 Y 0.862 0.562 0.698
Ho1 Ho 0.006 0.792 0.578
Ho2 Ho 0.208 0.422 0.994
Ho3 Ho 0.233 0.753 0.296
Ho4 Ho 0.247 0.704 0.767
Ho5 Ho 0.296 0.233 0.753
Ho6 Ho 0.422 0.994 0.208
Ho7 Ho 0.578 0.006 0.792
Ho8 Ho 0.704 0.767 0.247
Ho9 Ho 0.753 0.296 0.233
Ho10 Ho 0.767 0.247 0.704
Ho11 Ho 0.792 0.578 0.006
Ho12 Ho 0.994 0.208 0.422
Sc1 Sc 0.500 0.500 0.500
```

## Properties
- Magnetic moment: 0.000 μB per formula unit
- Formation enthalpy at 0 K: 6.3 eV per formula unit
- Space group: No. 148
- E_tot: -5.0110 eV/atom
- Energy relative to the lowest polymorph listed for this composition: 6.80 kJ/mol of atoms
- DOS at the Fermi energy: 27.691 states/eV/cell


- Among the records above, which one has the highest magnetic moment?
  Er5GaPd2